Below is an optimized crystal structure of PmEr4Hg5, with properties calculated at the PBE level.

Properties
Density of states at the Fermi level: 8.307 states/eV per cell
V: 256.5 Å³/f.u.

Cell lengths 3.7048, 3.7048, 18.6840 Å; angles 90.00, 90.00, 90.00 degrees
Site moments in Bohr magnetons follow the coordinates.
Sites, in units of the cell vectors:
Pm 0.0000 0.0000 0.0000  0.20
Er 0.0000 0.0000 0.2046  0.03
Er 0.0000 0.0000 0.4018  0.01
Er 0.0000 0.0000 0.5982  0.01
Er 0.0000 0.0000 0.7954  0.03
Hg 0.5000 0.5000 0.1091  0.01
Hg 0.5000 0.5000 0.3030  0.00
Hg 0.5000 0.5000 0.5000  0.00
Hg 0.5000 0.5000 0.6970  0.00
Hg 0.5000 0.5000 0.8909  0.01

=====

Below is an optimized crystal structure of Pm4ErHg, with properties calculated at the PBE level.

Properties
Density of states at the Fermi level: 7.749 states/eV per cell
Excess energy over the best structure of this formula in the dataset: 0.000 eV per atom
V: 189.3 Å³/f.u.

Cell lengths 3.6634, 3.6634, 14.1073 Å; angles 90.00, 90.00, 90.00 degrees
Sites, in units of the cell vectors:
Pm 0.5000 0.5000 0.1752
Pm 0.0000 0.0000 0.6448
Pm 0.0000 0.0000 0.3552
Pm 0.5000 0.5000 0.8248
Er 0.0000 0.0000 0.0000
Hg 0.5000 0.5000 0.5000

=====

Below is an optimized crystal structure of Pm2ErHg, with properties calculated at the PBE level.

Properties
Density of states at the Fermi level: 4.283 states/eV per cell
Excess energy over the best structure of this formula in the dataset: 0.316 eV per atom
V: 132.0 Å³/f.u.

Cell lengths 3.5329, 3.5329, 12.3770 Å; angles 81.79, 81.79, 60.00 degrees
Sites, in units of the cell vectors:
Pm 0.0889 0.0889 0.7332
Pm 0.9111 0.9111 0.2668
Hg 0.0000 0.0000 0.0000
Er 0.5000 0.5000 0.5000

=====

Below is an optimized crystal structure of Pm3Er3Hg2, with properties calculated at the PBE level.

Properties
Density of states at the Fermi level: 16.880 states/eV per cell
V: 242.1 Å³/f.u.

Cell lengths 5.1777, 6.4189, 15.9196 Å; angles 90.00, 90.00, 113.79 degrees
Sites, in units of the cell vectors:
Pm 0.9600 0.9200 0.3922
Pm 0.0400 0.0800 0.8922
Pm 0.9600 0.9200 0.1078
Pm 0.0400 0.0800 0.6078
Pm 0.7157 0.4314 0.2500
Pm 0.2843 0.5686 0.7500
Er 0.6420 0.2840 0.4651
Er 0.3580 0.7160 0.9651
Er 0.6420 0.2840 0.0349
Er 0.3580 0.7160 0.5349
Er 0.4289 0.8577 0.2500
Er 0.5711 0.1423 0.7500
Hg 0.7675 0.5351 0.8750
Hg 0.2325 0.4649 0.3750
Hg 0.7675 0.5351 0.6250
Hg 0.2325 0.4649 0.1250

=====

Here are the calculated formation energy numbers, same order: -0.48 -0.15 0.09 -0.18 (eV per atom).